No. 1
# PBE-GGA Li3Ca2Sn2, relaxed
# ΔE_f: -448 meV/atom
data_Li3Ca2Sn2
_chemical_formula_sum 'Li6 Ca4 Sn4'
_space_group_name_H-M_alt 'C 1 2/m 1'
_space_group_IT_number 12
_space_group_name_Hall '-C 2y'
_cell_length_a 10.989
_cell_length_b 4.863
_cell_length_c 6.893
_cell_angle_alpha 90.00
_cell_angle_beta 109.35
_cell_angle_gamma 90.00
loop_
_atom_site_label
_atom_site_type_symbol
_atom_site_fract_x
_atom_site_fract_y
_atom_site_fract_z
Li1 Li 0.000 0.000 0.000
Li2 Li 0.120 0.000 0.428
Ca1 Ca 0.157 0.500 0.767
Sn1 Sn 0.137 0.500 0.233

---

No. 2
# PBE-GGA Li2CaSn2, relaxed
# Energy relative to the lowest polymorph listed for this composition: 10.0 kJ/mol of atoms
# ΔE_f: -342 meV/atom
data_Li2CaSn2
_chemical_formula_sum 'Li4 Ca2 Sn4'
_space_group_name_H-M_alt 'P 4/m b m'
_space_group_IT_number 127
_space_group_name_Hall '-P 4 2ab'
_cell_length_a 8.314
_cell_length_b 8.314
_cell_length_c 3.503
_cell_angle_alpha 90.00
_cell_angle_beta 90.00
_cell_angle_gamma 90.00
loop_
_atom_site_label
_atom_site_type_symbol
_atom_site_fract_x
_atom_site_fract_y
_atom_site_fract_z
Li1 Li 0.166 0.334 0.000
Ca1 Ca 0.000 0.000 0.500
Sn1 Sn 0.128 0.628 0.500

---

No. 3
# PBE-GGA Li4Ca3Sn4, relaxed
# Energy relative to the lowest polymorph listed for this composition: 1.8 kJ/mol of atoms
# ΔE_f: -483 meV/atom
data_Li4Ca3Sn4
_chemical_formula_sum 'Li8 Ca6 Sn8'
_space_group_name_H-M_alt 'I m m m'
_space_group_IT_number 71
_space_group_name_Hall '-I 2 2'
_cell_length_a 4.726
_cell_length_b 7.371
_cell_length_c 15.525
_cell_angle_alpha 90.00
_cell_angle_beta 90.00
_cell_angle_gamma 90.00
loop_
_atom_site_label
_atom_site_type_symbol
_atom_site_fract_x
_atom_site_fract_y
_atom_site_fract_z
Li1 Li 0.000 0.191 0.175
Ca1 Ca 0.000 0.000 0.370
Ca2 Ca 0.000 0.500 0.500
Sn1 Sn 0.000 0.308 0.000
Sn2 Sn 0.000 0.500 0.289

---

No. 4
# PBE-GGA Li6CaSn, relaxed
# ΔE_f: -19 meV/atom
data_Li6CaSn
_chemical_formula_sum 'Li18 Ca3 Sn3'
_space_group_name_H-M_alt 'R -3 m'
_space_group_IT_number 166
_space_group_name_Hall '-R 3 2"'
_cell_length_a 7.3571
_cell_length_b 7.3571
_cell_length_c 12.1500
_cell_angle_alpha 90.00
_cell_angle_beta 90.00
_cell_angle_gamma 120.00
loop_
_atom_site_label
_atom_site_type_symbol
_atom_site_fract_x
_atom_site_fract_y
_atom_site_fract_z
Li1 Li 0.0784 0.5392 0.3997
Ca1 Ca 0.0000 0.0000 0.5000
Sn1 Sn 0.0000 0.0000 0.0000

---

| no. | density (g cm⁻³) |
| --- | --- |
| 1 | 3.23 |
| 2 | 4.00 |
| 3 | 3.82 |
| 4 | 1.75 |